Entry one
Below is InGa4Sn after structural relaxation, with properties calculated at the PBE-GGA level.

Results
D(E_F), states/eV/atom: 0.4206

```
InGa4Sn
1.0
0.000 4.045 4.045
4.045 0.000 4.045
4.045 4.045 0.000
In Ga Sn
1 4 1
direct
0.000 0.000 0.000
0.375 0.375 0.375
0.375 0.375 0.875
0.375 0.875 0.375
0.875 0.375 0.375
0.750 0.750 0.750
```



Entry two
Below is InGa4Sn after structural relaxation, with properties calculated at the PBE-GGA level.

Results
D(E_F), states/eV/atom: 0.2169

```
InGa4Sn
1.0
4.904 0.000 0.000
-2.452 4.247 0.000
0.000 0.000 6.371
In Ga Sn
1 4 1
direct
0.000 0.000 0.000
0.333 0.667 0.256
0.333 0.667 0.744
0.667 0.333 0.256
0.667 0.333 0.744
0.000 0.000 0.500
```



Computed relative energies in units of meV per atom: entry one 18; entry two 0



Entry one
Below is In3GaSn after structural relaxation, with properties calculated at the PBE-GGA level.

Results
D(E_F), states/eV/atom: 0.6038

```
In3GaSn
1.0
5.727 0.000 0.000
0.000 5.727 0.000
0.000 0.000 5.727
In Ga Sn
3 1 1
direct
0.000 0.000 0.500
0.000 0.500 0.000
0.500 0.000 0.000
0.500 0.500 0.500
0.000 0.000 0.000
```



Entry two
Below is In3GaSn after structural relaxation, with properties calculated at the PBE-GGA level.

Results
D(E_F), states/eV/atom: 0.5534

```
In3GaSn
1.0
5.326 0.000 0.000
0.000 5.326 0.000
0.000 0.000 5.326
In Ga Sn
3 1 1
direct
0.000 0.000 0.500
0.000 0.500 0.000
0.500 0.000 0.000
0.000 0.000 0.000
0.500 0.500 0.500
```



Computed relative energies in units of meV per atom: entry one 241; entry two 0



Entry one
Below is In3GaSn after structural relaxation, with properties calculated at the PBE-GGA level.

Results
D(E_F), states/eV/atom: 0.6442

```
In3GaSn
1.0
5.100 0.000 0.000
-2.550 4.417 0.000
0.000 0.000 11.818
In Ga Sn
6 2 2
direct
0.000 0.000 0.000
0.000 0.000 0.500
0.333 0.667 0.109
0.333 0.667 0.770
0.667 0.333 0.270
0.667 0.333 0.609
0.000 0.000 0.248
0.000 0.000 0.748
0.333 0.667 0.398
0.667 0.333 0.898
```



Entry two
Below is In3GaSn after structural relaxation, with properties calculated at the PBE-GGA level.

Results
D(E_F), states/eV/atom: 0.4401

```
In3GaSn
1.0
5.006 0.000 0.000
0.000 6.771 0.000
-2.183 0.000 7.645
In Ga Sn
6 2 2
direct
0.102 0.000 0.214
0.102 0.500 0.214
0.305 0.250 0.598
0.695 0.750 0.402
0.898 0.000 0.786
0.898 0.500 0.786
0.293 0.750 0.607
0.707 0.250 0.393
0.495 0.750 0.990
0.505 0.250 0.010
```



Computed relative energies in units of meV per atom: entry one 28; entry two 0



Entry one
Below is InGaSn after structural relaxation, with properties calculated at the PBE-GGA level.

Results
D(E_F), states/eV/atom: 0.3851

```
InGaSn
1.0
0.000 4.987 5.213
2.879 0.000 5.213
2.879 4.987 0.000
In Ga Sn
2 2 2
direct
0.158 0.842 0.158
0.842 0.158 0.842
0.250 0.250 0.250
0.750 0.750 0.750
0.348 0.348 0.652
0.652 0.652 0.348
```



Entry two
Below is InGaSn after structural relaxation, with properties calculated at the PBE-GGA level.

Results
D(E_F), states/eV/atom: 0.4357

```
InGaSn
1.0
-1.852 1.852 11.453
1.852 -1.852 11.453
1.852 1.852 -11.453
In Ga Sn
2 2 2
direct
0.208 0.208 0.000
0.792 0.792 0.000
0.370 0.370 0.000
0.630 0.630 0.000
0.067 0.067 0.000
0.933 0.933 0.000
```



Entry three
Below is InGaSn after structural relaxation, with properties calculated at the PBE-GGA level.

Results
D(E_F), states/eV/atom: 0.4741

```
InGaSn
1.0
-1.718 1.718 6.263
1.718 -1.718 6.263
1.718 1.718 -6.263
In Ga Sn
1 1 1
direct
0.000 0.000 0.000
0.658 0.658 0.000
0.314 0.314 0.000
```



Computed relative energies in units of meV per atom: entry one 0; entry two 48; entry three 6



Entry one
Below is In5Ga4Sn2 after structural relaxation, with properties calculated at the PBE-GGA level.

Results
D(E_F), states/eV/atom: 0.3517

```
In5Ga4Sn2
1.0
11.258 -1.623 0.000
11.258 1.623 0.000
-1.543 0.000 7.600
In Ga Sn
5 4 2
direct
0.000 0.000 0.000
0.336 0.336 0.051
0.394 0.394 0.714
0.606 0.606 0.286
0.664 0.664 0.949
0.117 0.117 0.614
0.473 0.473 0.326
0.527 0.527 0.674
0.883 0.883 0.386
0.247 0.247 0.680
0.753 0.753 0.320
```



Entry two
Below is In5Ga4Sn2 after structural relaxation, with properties calculated at the PBE-GGA level.

Results
D(E_F), states/eV/atom: 0.4067

```
In5Ga4Sn2
1.0
5.613 -3.169 0.000
5.613 3.169 0.000
-5.431 0.000 7.827
In Ga Sn
5 4 2
direct
0.000 0.000 0.000
0.060 0.545 0.330
0.455 0.940 0.670
0.545 0.060 0.330
0.940 0.455 0.670
0.051 0.051 0.342
0.249 0.249 0.973
0.751 0.751 0.027
0.949 0.949 0.658
0.462 0.462 0.717
0.538 0.538 0.283
```



Computed relative energies in units of meV per atom: entry one 0; entry two 19



Entry one
Below is InGa3Sn3 after structural relaxation, with properties calculated at the PBE-GGA level.

Results
D(E_F), states/eV/atom: 0.7113

```
InGa3Sn3
1.0
7.644 0.000 0.000
0.000 7.644 0.000
0.000 0.000 7.644
In Ga Sn
2 6 6
direct
0.000 0.000 0.000
0.500 0.500 0.500
0.000 0.250 0.500
0.000 0.750 0.500
0.250 0.500 0.000
0.500 0.000 0.250
0.500 0.000 0.750
0.750 0.500 0.000
0.000 0.500 0.250
0.000 0.500 0.750
0.250 0.000 0.500
0.500 0.250 0.000
0.500 0.750 0.000
0.750 0.000 0.500
```



Entry two
Below is InGa3Sn3 after structural relaxation, with properties calculated at the PBE-GGA level.

Results
D(E_F), states/eV/atom: 0.4448

```
InGa3Sn3
1.0
3.337 1.926 9.011
-3.337 1.926 9.011
0.000 -3.853 9.011
In Ga Sn
2 6 6
direct
0.175 0.175 0.175
0.825 0.825 0.825
0.233 0.702 0.415
0.298 0.585 0.767
0.415 0.233 0.702
0.585 0.767 0.298
0.702 0.415 0.233
0.767 0.298 0.585
0.055 0.604 0.204
0.204 0.055 0.604
0.396 0.796 0.945
0.604 0.204 0.055
0.796 0.945 0.396
0.945 0.396 0.796
```



Computed relative energies in units of meV per atom: entry one 166; entry two 0



Entry one
Below is InGaSn4 after structural relaxation, with properties calculated at the PBE-GGA level.

Results
D(E_F), states/eV/atom: 0.5235

```
InGaSn4
1.0
0.000 4.417 4.417
4.417 0.000 4.417
4.417 4.417 0.000
In Ga Sn
1 1 4
direct
0.000 0.000 0.000
0.750 0.750 0.750
0.375 0.375 0.375
0.375 0.375 0.875
0.375 0.875 0.375
0.875 0.375 0.375
```



Entry two
Below is InGaSn4 after structural relaxation, with properties calculated at the PBE-GGA level.

Results
D(E_F), states/eV/atom: 0.3845

```
InGaSn4
1.0
4.132 -4.668 0.000
4.132 4.668 0.000
-3.613 0.000 4.137
In Ga Sn
1 1 4
direct
0.000 0.000 0.000
0.500 0.500 0.500
0.083 0.419 0.751
0.419 0.083 0.751
0.581 0.917 0.249
0.917 0.581 0.249
```



Computed relative energies in units of meV per atom: entry one 99; entry two 0



Entry one
Below is In2GaSn3 after structural relaxation, with properties calculated at the PBE-GGA level.

Results
D(E_F), states/eV/atom: 0.4722

```
In2GaSn3
1.0
2.698 -8.051 0.000
2.698 8.051 0.000
0.000 0.000 3.627
In Ga Sn
2 1 3
direct
0.179 0.821 0.000
0.821 0.179 0.000
0.500 0.500 0.000
0.000 0.000 0.500
0.357 0.643 0.500
0.643 0.357 0.500
```



Entry two
Below is In2GaSn3 after structural relaxation, with properties calculated at the PBE-GGA level.

Results
D(E_F), states/eV/atom: 0.5143

```
In2GaSn3
1.0
3.568 -6.474 0.000
3.568 6.474 0.000
-2.587 0.000 7.111
In Ga Sn
4 2 6
direct
0.000 0.000 0.000
0.153 0.847 0.500
0.500 0.500 0.500
0.847 0.153 0.500
0.328 0.672 0.000
0.672 0.328 0.000
0.082 0.434 0.232
0.289 0.289 0.786
0.434 0.082 0.232
0.566 0.918 0.768
0.711 0.711 0.214
0.918 0.566 0.768
```



Computed relative energies in units of meV per atom: entry one 0; entry two 35



Entry one
Below is TlInGaSn after structural relaxation, with properties calculated at the PBE-GGA level.

Results
D(E_F), states/eV/atom: 0.5541

```
TlInGaSn
1.0
0.000 3.754 3.754
3.754 0.000 3.754
3.754 3.754 0.000
Tl In Ga Sn
1 1 1 1
direct
0.000 0.000 0.000
0.250 0.250 0.250
0.750 0.750 0.750
0.500 0.500 0.500
```



Entry two
Below is TlInGaSn after structural relaxation, with properties calculated at the PBE-GGA level.

Results
D(E_F), states/eV/atom: 0.5459

```
TlInGaSn
1.0
3.497 0.000 0.000
0.000 3.497 0.000
0.000 0.000 8.625
Tl In Ga Sn
1 1 1 1
direct
0.000 0.000 0.000
0.500 0.500 0.714
0.000 0.000 0.498
0.500 0.500 0.287
```



Computed relative energies in units of meV per atom: entry one 37; entry two 0



Entry one
Below is SrIn3Ga after structural relaxation, with properties calculated at the PBE-GGA level.

Results
D(E_F), states/eV/atom: 0.3025

```
SrIn3Ga
1.0
3.406 -3.408 0.000
3.406 3.408 0.000
-3.393 0.000 5.991
Sr In Ga
1 3 1
direct
0.000 0.000 0.000
0.241 0.740 0.482
0.389 0.389 0.779
0.740 0.241 0.482
0.614 0.614 0.228
```



Entry two
Below is SrIn3Ga after structural relaxation, with properties calculated at the PBE-GGA level.

Results
D(E_F), states/eV/atom: 0.4645

```
SrIn3Ga
1.0
10.445 0.000 0.000
0.000 4.705 0.000
0.000 0.000 11.425
Sr In Ga
4 12 4
direct
0.183 0.250 0.007
0.317 0.750 0.507
0.683 0.250 0.493
0.817 0.750 0.993
0.084 0.250 0.400
0.100 0.750 0.219
0.123 0.750 0.794
0.377 0.250 0.294
0.400 0.250 0.719
0.416 0.750 0.900
0.584 0.250 0.100
0.600 0.750 0.281
0.623 0.750 0.706
0.877 0.250 0.206
0.900 0.250 0.781
0.916 0.750 0.600
0.135 0.250 0.643
0.365 0.750 0.143
0.635 0.250 0.857
0.865 0.750 0.357
```



Entry three
Below is SrIn3Ga after structural relaxation, with properties calculated at the PBE-GGA level.

Results
D(E_F), states/eV/atom: 0.8004

```
SrIn3Ga
1.0
5.419 0.000 0.000
0.000 5.419 0.000
0.000 0.000 5.419
Sr In Ga
1 3 1
direct
0.000 0.000 0.000
0.000 0.500 0.500
0.500 0.000 0.500
0.500 0.500 0.000
0.500 0.500 0.500
```



Computed relative energies in units of meV per atom: entry one 0; entry two 61; entry three 272



Entry one
Below is SrInGa3 after structural relaxation, with properties calculated at the PBE-GGA level.

Results
D(E_F), states/eV/atom: 0.2914

```
SrInGa3
1.0
2.324 -12.043 0.000
2.324 12.043 0.000
0.000 0.000 4.376
Sr In Ga
2 2 6
direct
0.079 0.921 0.750
0.921 0.079 0.250
0.201 0.799 0.250
0.799 0.201 0.750
0.313 0.687 0.250
0.371 0.629 0.750
0.475 0.525 0.750
0.525 0.475 0.250
0.629 0.371 0.250
0.687 0.313 0.750
```



Entry two
Below is SrInGa3 after structural relaxation, with properties calculated at the PBE-GGA level.

Results
D(E_F), states/eV/atom: 0.7695

```
SrInGa3
1.0
5.881 0.000 0.000
0.000 5.881 0.000
0.000 0.000 5.881
Sr In Ga
1 1 3
direct
0.000 0.000 0.000
0.500 0.500 0.500
0.000 0.000 0.500
0.000 0.500 0.000
0.500 0.000 0.000
```



Entry three
Below is SrInGa3 after structural relaxation, with properties calculated at the PBE-GGA level.

Results
D(E_F), states/eV/atom: 0.8272

```
SrInGa3
1.0
5.341 0.000 0.000
0.000 5.341 0.000
0.000 0.000 5.341
Sr In Ga
1 1 3
direct
0.000 0.000 0.000
0.500 0.500 0.500
0.000 0.500 0.500
0.500 0.000 0.500
0.500 0.500 0.000
```



Computed relative energies in units of meV per atom: entry one 0; entry two 1108; entry three 471